Entry 1:
A plane-wave DFT calculation with GGA-PBE was carried out for Tb3Sm5Ho after structural relaxation.

The space group is C2/m (No. 12) and the conventional cell measures 15.2250, 11.6290 and 9.8641 Å, with angles of 90.00, 129.70 and 90.00 degrees. The distinct sites, in fractional coordinates, are Tb at (0.0000, 0.0000, 0.0000), Tb at (0.0000, 0.5000, 0.5000), Tb at (0.0076, 0.0000, 0.3217), Tb at (0.0156, 0.5000, 0.8535), Sm at (0.0000, 0.2459, 0.5000), Sm at (0.1480, 0.2477, 0.2410), Sm at (0.2250, 0.5000, 0.5462), Sm at (0.2271, 0.0000, 0.7344) and Ho at (0.2491, 0.0000, 0.0940).

Its offset from the most stable computed form is 326 meV/atom.

=====

Entry 2:
A plane-wave DFT calculation with GGA-PBE was carried out for Tb2Sm3Ho6 after structural relaxation.

The space group is I4/mmm (No. 139) and the conventional cell measures 4.7319, 4.7319 and 33.1831 Å, with angles of 90.00, 90.00 and 90.00 degrees. The distinct sites, in fractional coordinates, are Tb at (0.0000, 0.0000, 0.0460), Sm at (0.0000, 0.0000, 0.2979), Sm at (0.0000, 0.0000, 0.5000), Ho at (0.0000, 0.0000, 0.1942) and Ho at (0.0000, 0.5000, 0.1209).

Its offset from the most stable computed form is 259 meV/atom.

=====

Entry 3:
A plane-wave DFT calculation with GGA-PBE was carried out for Tb4Sm6Ho after structural relaxation.

The space group is Cmcm (No. 63) and the conventional cell measures 5.8471, 9.6531 and 25.6661 Å, with angles of 90.00, 90.00 and 90.00 degrees. The distinct sites, in fractional coordinates, are Tb at (0.0000, 0.0486, 0.1229), Tb at (0.0000, 0.3526, 0.0438), Sm at (0.0000, 0.0000, 0.0000), Sm at (0.0000, 0.0545, 0.2500), Sm at (0.0000, 0.2954, 0.6035), Sm at (0.0000, 0.3813, 0.1825) and Ho at (0.0000, 0.2837, 0.7500).

Its offset from the most stable computed form is 0 meV/atom.

=====

Entry 4:
A plane-wave DFT calculation with GGA-PBE was carried out for Tb9SmHo2 after structural relaxation.

The space group is P4/mmm (No. 123) and the conventional cell measures 5.0340, 5.0340 and 15.1049 Å, with angles of 90.00, 90.00 and 90.00 degrees. The distinct sites, in fractional coordinates, are Tb at (0.0000, 0.0000, 0.0000), Tb at (0.0000, 0.0000, 0.3344), Tb at (0.0000, 0.5000, 0.1682), Tb at (0.0000, 0.5000, 0.5000), Sm at (0.5000, 0.5000, 0.0000) and Ho at (0.5000, 0.5000, 0.3341).

Its offset from the most stable computed form is 0 meV/atom.

=====

Entry 5:
A plane-wave DFT calculation with GGA-PBE was carried out for Tb19Sm4Ho6 after structural relaxation.

The space group is I23 (No. 197) and the conventional cell measures 12.4767, 12.4767 and 12.4767 Å, with angles of 90.00, 90.00 and 90.00 degrees. The distinct sites, in fractional coordinates, are Tb at (0.0000, 0.0000, 0.0000), Tb at (0.0000, 0.0000, 0.2611), Tb at (0.0617, 0.2784, 0.7362), Sm at (0.1800, 0.1800, 0.1800) and Ho at (0.0000, 0.1254, 0.5000).

=====

Entry 6:
A plane-wave DFT calculation with GGA-PBE was carried out for TbSm7Ho4 after structural relaxation.

The space group is P-1 (No. 2) and the conventional cell measures 6.2674, 7.2320 and 8.9135 Å, with angles of 89.98, 76.47 and 89.96 degrees. The distinct sites, in fractional coordinates, are Tb at (0.0000, 0.0000, 0.0000), Sm at (0.0000, 0.5000, 0.0000), Sm at (0.2217, 0.0000, 0.3344), Sm at (0.2792, 0.2509, 0.6654), Sm at (0.4992, 0.7480, 0.9992), Ho at (0.2202, 0.4999, 0.3349) and Ho at (0.2783, 0.7481, 0.6666).

Its offset from the most stable computed form is 0 meV/atom.

=====

Entry 7:
A plane-wave DFT calculation with GGA-PBE was carried out for Tb5Sm2Ho12 after structural relaxation.

The space group is P-1 (No. 2) and the conventional cell measures 6.2268, 8.8133 and 12.0475 Å, with angles of 68.95, 80.68 and 79.64 degrees. The distinct sites, in fractional coordinates, are Tb at (0.0000, 0.0000, 0.0000), Tb at (0.2144, 0.3252, 0.0112), Tb at (0.3626, 0.8389, 0.5090), Sm at (0.2602, 0.5023, 0.4331), Ho at (0.0905, 0.1263, 0.6600), Ho at (0.1650, 0.2068, 0.3243), Ho at (0.2298, 0.4614, 0.7147), Ho at (0.2744, 0.5995, 0.1391), Ho at (0.3105, 0.7404, 0.8332) and Ho at (0.4575, 0.9246, 0.1740).

Its offset from the most stable computed form is 0 meV/atom.

=====

Entry 8:
A plane-wave DFT calculation with GGA-PBE was carried out for Tb4Sm7Ho after structural relaxation.

The space group is P-1 (No. 2) and the conventional cell measures 6.2854, 7.2520 and 8.9564 Å, with angles of 89.98, 76.35 and 89.93 degrees. The distinct sites, in fractional coordinates, are Tb at (0.2206, 0.0001, 0.3339), Tb at (0.2785, 0.7504, 0.6678), Sm at (0.0000, 0.0000, 0.0000), Sm at (0.2210, 0.5001, 0.3336), Sm at (0.2794, 0.2496, 0.6666), Sm at (0.5002, 0.2489, 0.0006) and Ho at (0.0000, 0.5000, 0.0000).

Its offset from the most stable computed form is 0 meV/atom.

=====

Entry 9:
A plane-wave DFT calculation with GGA-PBE was carried out for Tb2Sm4Ho5 after structural relaxation.

The space group is C2/m (No. 12) and the conventional cell measures 16.3353, 5.7032 and 9.2721 Å, with angles of 90.00, 124.01 and 90.00 degrees. The distinct sites, in fractional coordinates, are Tb at (0.0946, 0.0000, 0.2580), Sm at (0.0508, 0.5000, 0.8131), Sm at (0.1862, 0.0000, 0.9922), Ho at (0.0000, 0.0000, 0.5000), Ho at (0.1531, 0.5000, 0.5570) and Ho at (0.2195, 0.5000, 0.2642).

=====

Entry 10:
A plane-wave DFT calculation with GGA-PBE was carried out for Tb7SmHo4 after structural relaxation.

The space group is C2/m (No. 12) and the conventional cell measures 12.0104, 5.8785 and 12.6351 Å, with angles of 90.00, 118.05 and 90.00 degrees. The distinct sites, in fractional coordinates, are Tb at (0.0000, 0.0000, 0.0000), Tb at (0.0598, 0.5000, 0.3266), Tb at (0.1329, 0.0000, 0.5024), Tb at (0.2108, 0.5000, 0.9221), Sm at (0.0000, 0.5000, 0.0000), Ho at (0.1349, 0.0000, 0.7751) and Ho at (0.2487, 0.5000, 0.6830).

Its offset from the most stable computed form is 277 meV/atom.

=====

Entry 11:
A plane-wave DFT calculation with GGA-PBE was carried out for Tb2Sm6Ho3 after structural relaxation.

The space group is I4/mmm (No. 139) and the conventional cell measures 4.7589, 4.7589 and 33.4926 Å, with angles of 90.00, 90.00 and 90.00 degrees. The distinct sites, in fractional coordinates, are Tb at (0.0000, 0.0000, 0.0454), Sm at (0.0000, 0.0000, 0.1988), Sm at (0.0000, 0.5000, 0.1207), Ho at (0.0000, 0.0000, 0.3013) and Ho at (0.0000, 0.0000, 0.5000).

Its offset from the most stable computed form is 276 meV/atom.

=====

Entry 12:
A plane-wave DFT calculation with GGA-PBE was carried out for TbSm3Ho4 after structural relaxation.

The space group is C2/m (No. 12) and the conventional cell measures 23.4808, 3.4748 and 6.7097 Å, with angles of 90.00, 106.54 and 90.00 degrees. The distinct sites, in fractional coordinates, are Tb at (0.0000, 0.0000, 0.0000), Sm at (0.0000, 0.5000, 0.5000), Sm at (0.1262, 0.5000, 0.3717), Ho at (0.1251, 0.5000, 0.8840) and Ho at (0.2401, 0.0000, 0.2338).

Its offset from the most stable computed form is 145 meV/atom.

=====

Entry 13:
A plane-wave DFT calculation with GGA-PBE was carried out for Tb7Sm2Ho after structural relaxation.

The space group is Cmmm (No. 65) and the conventional cell measures 6.5180, 28.8423 and 3.5078 Å, with angles of 90.00, 90.00 and 90.00 degrees. The distinct sites, in fractional coordinates, are Tb at (0.0000, 0.0000, 0.0000), Tb at (0.0000, 0.3140, 0.5000), Tb at (0.2460, 0.4018, 0.0000), Sm at (0.0000, 0.2071, 0.0000) and Ho at (0.0000, 0.5000, 0.5000).

Its offset from the most stable computed form is 142 meV/atom.

=====

Entry 14:
A plane-wave DFT calculation with GGA-PBE was carried out for Tb8Sm5Ho after structural relaxation.

The space group is I-4 (No. 82) and the conventional cell measures 9.6145, 9.6145 and 10.1300 Å, with angles of 90.00, 90.00 and 90.00 degrees. The distinct sites, in fractional coordinates, are Tb at (0.0706, 0.3249, 0.0949), Tb at (0.0858, 0.1771, 0.7530), Sm at (0.0000, 0.0000, 0.0000), Sm at (0.1090, 0.2122, 0.4229) and Ho at (0.0000, 0.5000, 0.7500).

=====

Entry 15:
A plane-wave DFT calculation with GGA-PBE was carried out for TbSm6Ho12 after structural relaxation.

The space group is R-3m (No. 166, hexagonal axes) and the conventional cell measures 13.1790, 13.1790 and 12.5934 Å, with angles of 90.00, 90.00 and 120.00 degrees. The distinct sites, in fractional coordinates, are Tb at (0.0000, 0.0000, 0.0000), Sm at (0.0390, 0.5195, 0.6173), Ho at (0.0000, 0.2575, 0.5000) and Ho at (0.0910, 0.1821, 0.2644).

Its offset from the most stable computed form is 93 meV/atom.

=====

Entry 16:
A plane-wave DFT calculation with GGA-PBE was carried out for Tb7Sm4Ho after structural relaxation.

The space group is P-1 (No. 2) and the conventional cell measures 6.5387, 6.8373 and 9.1019 Å, with angles of 85.89, 77.32 and 82.37 degrees. The distinct sites, in fractional coordinates, are Tb at (0.0000, 0.0000, 0.0000), Tb at (0.1900, 0.6058, 0.3848), Tb at (0.3163, 0.1986, 0.6398), Tb at (0.4882, 0.7473, 0.0516), Sm at (0.1586, 0.1156, 0.3083), Sm at (0.3606, 0.6917, 0.7176) and Ho at (0.0000, 0.5000, 0.0000).

Its offset from the most stable computed form is 0 meV/atom.

=====

Entry 17:
A plane-wave DFT calculation with GGA-PBE was carried out for Tb6SmHo3 after structural relaxation.

The space group is Cmc2_1 (No. 36) and the conventional cell measures 11.0127, 18.9851 and 6.1902 Å, with angles of 90.00, 90.00 and 90.00 degrees. The distinct sites, in fractional coordinates, are Tb at (0.0000, 0.0454, 0.0000), Tb at (0.0000, 0.2816, 0.2700), Tb at (0.1649, 0.4548, 0.3765), Tb at (0.2461, 0.2902, 0.5469), Sm at (0.0000, 0.2048, 0.7706), Ho at (0.0000, 0.3888, 0.8398) and Ho at (0.1714, 0.1102, 0.4543).

Its offset from the most stable computed form is 24 meV/atom.

=====

Entry 18:
A plane-wave DFT calculation with GGA-PBE was carried out for Tb3SmHo6 after structural relaxation.

The space group is Cmc2_1 (No. 36) and the conventional cell measures 10.9974, 18.8994 and 6.1775 Å, with angles of 90.00, 90.00 and 90.00 degrees. The distinct sites, in fractional coordinates, are Tb at (0.0000, 0.1096, 0.0000), Tb at (0.1720, 0.3905, 0.3888), Sm at (0.0000, 0.2937, 0.0777), Ho at (0.0000, 0.2171, 0.5713), Ho at (0.0000, 0.4537, 0.8442), Ho at (0.1646, 0.0468, 0.4640) and Ho at (0.2494, 0.2105, 0.2962).

Its offset from the most stable computed form is 0 meV/atom.

=====

no.,formation energy (meV/atom)
1,497
2,276
3,120
4,19
5,387
6,2
7,61
8,6
9,90
10,274
11,291
12,163
13,159
14,247
15,215
16,87
17,149
18,148